(1)
# KAl2GaAu4

A relaxed structure of KAl2GaAu4 (GGA-PBE, Alexandria via LeMat-Bulk). Values from VASP.

Values from the calculation:
Formation energy from the elements   -244 meV per atom
Total magnetic moment   0.000 μB/atom
SG   R-3m (166)

```
&SYSTEM
  ibrav = 0, nat = 8, ntyp = 4
/
ATOMIC_SPECIES
Au 196.97 Au.upf
Al 26.98 Al.upf
K 39.10 K.upf
Ga 69.72 Ga.upf
CELL_PARAMETERS angstrom
-0.319 3.646 2.194
-2.452 3.168 -1.470
-9.711 -1.903 5.902
ATOMIC_POSITIONS crystal
Au 0.131 0.131 0.606
Au 0.406 0.406 0.783
Au 0.594 0.594 0.217
Au 0.869 0.869 0.394
Al 0.238 0.238 0.285
Al 0.762 0.762 0.715
K 0.000 0.000 0.000
Ga 0.500 0.500 0.500
```

***

(2)
# KAl2Ga2Au6

A relaxed structure of KAl2Ga2Au6 (GGA-PBE, Alexandria via LeMat-Bulk). Values from VASP.

Values from the calculation:
Formation energy from the elements   -301 meV per atom
Total magnetic moment   0.000 μB/atom
SG   C2/m (12)

```
&SYSTEM
  ibrav = 0, nat = 11, ntyp = 4
/
ATOMIC_SPECIES
Al 26.98 Al.upf
Au 196.97 Au.upf
Ga 69.72 Ga.upf
K 39.10 K.upf
CELL_PARAMETERS angstrom
-1.113 -4.779 -4.833
-1.345 -8.794 4.099
-3.735 4.319 -3.415
ATOMIC_POSITIONS crystal
Al 0.143 0.714 0.162
Al 0.857 0.286 0.838
Au 0.981 0.038 0.251
Au 0.978 0.481 0.761
Au 0.541 0.481 0.762
Au 0.022 0.519 0.239
Au 0.459 0.519 0.238
Au 0.019 0.962 0.749
Ga 0.805 0.390 0.346
Ga 0.195 0.610 0.654
K 0.500 0.000 0.500
```

***

(3)
# KAlGaAu3

A relaxed structure of KAlGaAu3 (GGA-PBE, Alexandria via LeMat-Bulk). Values from VASP.

Values from the calculation:
Formation energy from the elements   -293 meV per atom
Total magnetic moment   0.000 μB/atom
SG   Cmcm (63)

```
&SYSTEM
  ibrav = 0, nat = 12, ntyp = 4
/
ATOMIC_SPECIES
Au 196.97 Au.upf
Ga 69.72 Ga.upf
K 39.10 K.upf
Al 26.98 Al.upf
CELL_PARAMETERS angstrom
-0.168 0.539 6.682
5.483 -4.289 0.484
1.386 7.384 -0.560
ATOMIC_POSITIONS crystal
Au 0.500 0.727 0.000
Au 0.750 0.780 0.560
Au 0.250 0.220 0.440
Au 0.000 0.273 0.000
Au 0.500 0.273 0.000
Au 0.000 0.727 0.000
Ga 0.750 0.590 0.180
Ga 0.250 0.410 0.820
K 0.750 0.263 0.526
K 0.250 0.737 0.474
Al 0.250 0.032 0.064
Al 0.750 0.968 0.936
```

***

(4)
# LaAlGa2Au

A relaxed structure of LaAlGa2Au (GGA-PBE, Alexandria via LeMat-Bulk). Values from VASP.

Values from the calculation:
Formation energy from the elements   -676 meV per atom
Total magnetic moment   0.000 μB/atom
SG   Imm2 (44)

```
&SYSTEM
  ibrav = 0, nat = 5, ntyp = 4
/
ATOMIC_SPECIES
Au 196.97 Au.upf
Ga 69.72 Ga.upf
La 138.91 La.upf
Al 26.98 Al.upf
CELL_PARAMETERS angstrom
-1.919 0.118 3.895
-3.515 -2.006 -1.671
4.920 -3.943 0.121
ATOMIC_POSITIONS crystal
Au 0.818 0.818 0.637
Ga 0.692 0.192 0.383
Ga 0.050 0.050 0.100
La 0.457 0.457 0.914
Al 0.195 0.695 0.390
```